Below is a relaxed Tb2InPd4 crystal, with properties calculated at the PBE-GGA level.

Cell lengths 4.655, 4.665, 7.555 Å; angles 85.93, 85.97, 65.71 degrees
Atoms (fractional coordinates):
Tb 0.204 0.205 0.209
Tb 0.796 0.795 0.791
In 0.500 0.500 0.500
Pd 0.149 0.149 0.607
Pd 0.416 0.413 0.858
Pd 0.584 0.587 0.142
Pd 0.851 0.851 0.393

Summary:
The formation energy is -699 meV per atom. As for the energy above the lowest structure with this stoichiometry: 0.0000 eV per atom.

=====

Below is a relaxed Tb2InPd6 crystal, with properties calculated at the PBE-GGA level.

Cell lengths 7.104, 7.104, 4.152 Å; angles 90.00, 90.00, 122.69 degrees
Atoms (fractional coordinates):
Tb 0.210 0.790 0.000
Tb 0.790 0.210 0.000
In 0.000 0.000 0.500
Pd 0.153 0.445 0.500
Pd 0.281 0.281 0.000
Pd 0.445 0.153 0.500
Pd 0.555 0.847 0.500
Pd 0.719 0.719 0.000
Pd 0.847 0.555 0.500

Summary:
The formation energy is -608 meV per atom.